# TbNdEr, relaxed, DFT GGA-PBE
data_TbNdEr
_chemical_formula_sum 'Tb2 Nd2 Er2'
_cell_length_a 3.585
_cell_length_b 3.585
_cell_length_c 15.194
_cell_angle_alpha 90.00
_cell_angle_beta 90.00
_cell_angle_gamma 90.00
_symmetry_space_group_name_H-M 'I 4 m m'
_symmetry_Int_Tables_number 107
_symmetry_space_group_name_Hall 'I 4 -2'
loop_
_atom_site_label
_atom_site_fract_x
_atom_site_fract_y
_atom_site_fract_z
_atom_site_occupancy
Tb1 0.000 0.000 0.000 1
Nd1 0.000 0.000 0.331 1
Er1 0.000 0.000 0.663 1
# VASP energy: -27.8 eV/cell
# distance to the lowest polymorph of the same formula: 0.004 eV per atom
# energy relative to the elements: 0.0223 eV per atom